(1)
{"formula": "Pr12MgAl3", "functional": "PBE-GGA", "state": "optimized geometry", "lattice": [[4.9740, 0.0000, 0.0000], [0.0000, 4.9740, 0.0000], [0.0000, 0.0000, 19.8641]], "species": ["Pr", "Pr", "Pr", "Pr", "Pr", "Al", "Pr", "Al", "Pr", "Pr", "Pr", "Pr", "Mg", "Al", "Pr", "Pr"], "fractional_positions": [[0.0000, 0.5000, 0.1306], [0.5000, 0.0000, 0.6239], [0.0000, 0.5000, 0.3761], [0.5000, 0.5000, 0.0000], [0.5000, 0.0000, 0.1306], [0.0000, 0.0000, 0.2516], [0.0000, 0.5000, 0.8694], [0.0000, 0.0000, 0.5000], [0.5000, 0.0000, 0.8694], [0.0000, 0.5000, 0.6239], [0.5000, 0.0000, 0.3761], [0.5000, 0.5000, 0.7475], [0.0000, 0.0000, 0.0000], [0.0000, 0.0000, 0.7484], [0.5000, 0.5000, 0.5000], [0.5000, 0.5000, 0.2525]], "final_energy_ev_per_atom": -4.512, "sg": "No. 123", "dos_ef_per_ev_cell": 21.7}

***

(2)
{"formula": "Pr3Mg2Al4", "functional": "PBE-GGA", "state": "optimized geometry", "lattice": [[4.7888, 0.0000, 0.0000], [-2.3944, 5.5839, -0.4739], [0.0000, -2.9357, 8.6587]], "species": ["Al", "Al", "Mg", "Pr", "Al", "Mg", "Pr", "Pr", "Al"], "fractional_positions": [[0.2761, 0.5522, 0.9480], [0.0568, 0.1135, 0.3964], [0.3829, 0.7657, 0.7162], [0.3349, 0.6697, 0.3305], [0.9432, 0.8865, 0.6036], [0.6171, 0.2343, 0.2838], [0.0000, 0.0000, 0.0000], [0.6651, 0.3303, 0.6695], [0.7239, 0.4478, 0.0520]], "final_energy_ev_per_atom": -3.935, "sg": "No. 12", "dos_ef_per_ev_cell": 6.9}

***

(3)
{"formula": "Pr2MgAl", "functional": "PBE-GGA", "state": "optimized geometry", "lattice": [[-0.7670, -2.4522, -2.8868], [-3.5730, -2.5430, 3.1095], [-3.8726, 3.2862, -1.7625]], "species": ["Mg", "Al", "Pr", "Pr"], "fractional_positions": [[0.5000, 0.0000, 0.0000], [0.5000, 0.5000, 0.5000], [0.0000, 0.0000, 0.5000], [0.0000, 0.5000, 0.0000]], "final_energy_ev_per_atom": -3.953, "sg": "No. 123", "dos_ef_per_ev_cell": 4.1}

***

(4)
{"formula": "PrMg3Al2", "functional": "PBE-GGA", "state": "optimized geometry", "lattice": [[4.4788, 0.0000, 1.2330], [1.1869, 7.4470, 4.4395], [0.0011, 0.1800, 8.7471]], "species": ["Al", "Al", "Al", "Al", "Mg", "Pr", "Mg", "Mg", "Mg", "Pr", "Mg", "Mg"], "fractional_positions": [[0.4999, 0.1481, 0.8521], [0.1995, 0.3005, 0.3005], [0.5001, 0.8519, 0.1479], [0.8005, 0.6995, 0.6995], [0.6678, 0.1359, 0.5285], [0.8684, 0.1313, 0.1318], [0.9999, 0.3337, 0.6666], [0.3320, 0.4714, 0.8647], [0.3322, 0.8641, 0.4715], [0.1316, 0.8687, 0.8682], [0.0001, 0.6663, 0.3334], [0.6680, 0.5286, 0.1353]], "final_energy_ev_per_atom": -3.002, "sg": "No. 71", "dos_ef_per_ev_cell": 2.7}

***

(5)
{"formula": "Pr4Mg5Al2", "functional": "PBE-GGA", "state": "optimized geometry", "lattice": [[-2.9963, -1.8229, -0.8082], [1.2331, -4.8924, 6.4631], [-5.6779, 6.9719, 5.3259]], "species": ["Mg", "Pr", "Mg", "Pr", "Pr", "Al", "Pr", "Mg", "Al", "Mg", "Mg"], "fractional_positions": [[0.0000, 0.5000, 0.0000], [0.5000, 0.2633, 0.4457], [0.0000, 0.8038, 0.8342], [0.5000, 0.8446, 0.1280], [0.5000, 0.7367, 0.5543], [0.0000, 0.9464, 0.3729], [0.5000, 0.1554, 0.8720], [0.0000, 0.5720, 0.2954], [0.0000, 0.0536, 0.6271], [0.0000, 0.4280, 0.7046], [0.0000, 0.1962, 0.1658]], "final_energy_ev_per_atom": -3.277, "sg": "No. 10", "dos_ef_per_ev_cell": 9.4}

***

(6)
{"formula": "PrMgAl", "functional": "PBE-GGA", "state": "optimized geometry", "lattice": [[-2.1290, -2.9402, 0.8421], [2.2366, -0.3738, 4.3496], [-4.0172, 2.7767, -0.4616]], "species": ["Mg", "Pr", "Al"], "fractional_positions": [[0.1671, 0.0000, 0.0000], [0.6668, 0.6667, 0.3333], [0.1661, 0.3333, 0.6667]], "final_energy_ev_per_atom": -3.616, "sg": "No. 187", "dos_ef_per_ev_cell": 3.2}

***

(7)
{"formula": "Pr6MgAl5", "functional": "PBE-GGA", "state": "optimized geometry", "lattice": [[5.0764, -0.0305, 1.6918], [0.0408, 7.5512, 0.0136], [-0.0024, -0.0152, 8.4694]], "species": ["Pr", "Pr", "Pr", "Al", "Al", "Al", "Pr", "Pr", "Mg", "Al", "Pr", "Al"], "fractional_positions": [[0.5000, 0.7440, 0.0000], [0.8302, 0.7494, 0.3396], [0.1698, 0.7494, 0.6604], [0.3397, 0.0000, 0.3207], [0.0000, 0.5000, 0.0000], [0.6656, 0.5000, 0.6688], [0.8302, 0.2506, 0.3396], [0.1698, 0.2506, 0.6604], [0.0000, 0.0000, 0.0000], [0.6603, 0.0000, 0.6793], [0.5000, 0.2560, 0.0000], [0.3344, 0.5000, 0.3312]], "final_energy_ev_per_atom": -4.389, "sg": "No. 65", "dos_ef_per_ev_cell": 7.4}

***

(8)
{"formula": "Pr4MgAl", "functional": "PBE-GGA", "state": "optimized geometry", "lattice": [[-3.5645, 0.2455, 3.6205], [-1.9924, -4.3771, -1.6650], [4.9146, -4.1844, 5.1223]], "species": ["Pr", "Pr", "Al", "Mg", "Pr", "Pr"], "fractional_positions": [[0.0012, 0.4972, 0.2702], [0.0013, 0.4972, 0.7260], [0.0013, 0.9972, 0.4981], [0.5013, 0.4974, 0.9984], [0.5013, 0.9974, 0.7261], [0.5013, 0.9974, 0.2700]], "final_energy_ev_per_atom": -3.925, "sg": "No. 123", "dos_ef_per_ev_cell": 8.2}

***

(9)
{"formula": "Pr6MgAl2", "functional": "PBE-GGA", "state": "optimized geometry", "lattice": [[6.4500, 0.0000, 0.8031], [0.0000, 8.8605, 0.0000], [0.2706, 0.0000, 9.8628]], "species": ["Pr", "Pr", "Al", "Pr", "Pr", "Al", "Pr", "Pr", "Al", "Al", "Pr", "Pr", "Pr", "Mg", "Pr", "Pr", "Mg", "Pr"], "fractional_positions": [[0.1365, 0.3517, 0.4459], [0.8509, 0.9428, 0.2120], [0.9105, 0.3811, 0.7659], [0.6365, 0.1483, 0.9459], [0.8635, 0.6483, 0.5541], [0.0895, 0.6189, 0.2341], [0.9167, 0.7018, 0.9274], [0.5833, 0.2018, 0.5726], [0.5895, 0.8811, 0.7341], [0.4105, 0.1189, 0.2659], [0.3635, 0.8517, 0.0541], [0.3509, 0.5572, 0.7120], [0.4167, 0.7982, 0.4274], [0.0000, 0.0000, 0.5000], [0.6491, 0.4428, 0.2880], [0.1491, 0.0572, 0.7880], [0.5000, 0.5000, 0.0000], [0.0833, 0.2982, 0.0726]], "final_energy_ev_per_atom": -4.251, "sg": "No. 14", "dos_ef_per_ev_cell": 18.1}

***

(10)
{"formula": "PrMgAl", "functional": "PBE-GGA", "state": "optimized geometry", "lattice": [[3.4658, 0.0000, 0.0000], [0.0000, 3.4658, 0.0000], [-1.7329, -1.7329, 6.2717]], "species": ["Pr", "Al", "Mg"], "fractional_positions": [[0.9377, 0.9377, 0.8754], [0.2724, 0.2724, 0.5447], [0.6399, 0.6399, 0.2799]], "final_energy_ev_per_atom": -3.534, "sg": "No. 107", "dos_ef_per_ev_cell": 1.6}